# 1
InP2Au: relaxed, PBE.

The structure in CIF format:
```
data_InP2Au
_chemical_formula_sum 'In2 P4 Au2'
_space_group_name_H-M_alt 'P 63/m m c'
_space_group_IT_number 194
_space_group_name_Hall '-P 6c 2c'
_cell_length_a 3.7998
_cell_length_b 3.7998
_cell_length_c 15.3299
_cell_angle_alpha 90.00
_cell_angle_beta 90.00
_cell_angle_gamma 120.00
loop_
_atom_site_label
_atom_site_type_symbol
_atom_site_fract_x
_atom_site_fract_y
_atom_site_fract_z
In1 In 0.0000 0.0000 0.0000
P1 P 0.3333 0.6667 0.0996
Au1 Au 0.3333 0.6667 0.2500
```

Calculated values
- Calculated formation energy: 0.299 eV/atom
- Density of states at the Fermi level: 0.57 states/eV per atom

# 2
CaLa2Pr3: relaxed, PBE.

The structure in CIF format:
```
data_CaLa2Pr3
_chemical_formula_sum 'Ca4 La8 Pr12'
_space_group_name_H-M_alt 'C m c m'
_space_group_IT_number 63
_space_group_name_Hall '-C 2c 2'
_cell_length_a 5.276
_cell_length_b 15.885
_cell_length_c 10.642
_cell_angle_alpha 90.00
_cell_angle_beta 90.00
_cell_angle_gamma 90.00
loop_
_atom_site_label
_atom_site_type_symbol
_atom_site_fract_x
_atom_site_fract_y
_atom_site_fract_z
Ca1 Ca 0.000 0.167 0.250
La1 La 0.000 0.000 0.000
La2 La 0.000 0.495 0.250
Pr1 Pr 0.000 0.162 0.750
Pr2 Pr 0.000 0.334 0.005
```

Calculated values
- Calculated formation energy: 0.041 eV/atom
- Density of states at the Fermi level: 1.63 states/eV per atom

# 3
Ac2InAgS5: relaxed, PBE.

The structure in CIF format:
```
data_Ac2InAgS5
_chemical_formula_sum 'Ac8 In4 Ag4 S20'
_space_group_name_H-M_alt 'C m c 21'
_space_group_IT_number 36
_cell_length_a 4.212
_cell_length_b 17.732
_cell_length_c 11.679
_cell_angle_alpha 90.00
_cell_angle_beta 90.00
_cell_angle_gamma 90.00
loop_
_space_group_symop_operation_xyz
'x,y,z'
'-x,-y,z+1/2'
'-x,y,z'
'x,-y,z+1/2'
'x+1/2,y+1/2,z'
'-x+1/2,-y+1/2,z+1/2'
'-x+1/2,y+1/2,z'
'x+1/2,-y+1/2,z+1/2'
loop_
_atom_site_label
_atom_site_type_symbol
_atom_site_fract_x
_atom_site_fract_y
_atom_site_fract_z
Ac1 Ac 0.000 0.117 0.000
Ac2 Ac 0.000 0.128 0.381
In1 In 0.000 0.413 0.174
Ag1 Ag 0.000 0.231 0.720
S1 S 0.000 0.032 0.759
S2 S 0.000 0.300 0.039
S3 S 0.000 0.308 0.352
S4 S 0.000 0.369 0.692
S5 S 0.000 0.487 0.980
```

Calculated values
- Raw formation energy: -1382.3 meV per atom

# 4
CaLa2Cr: relaxed, PBE.

The structure in CIF format:
```
data_CaLa2Cr
_chemical_formula_sum 'Ca1 La2 Cr1'
_space_group_name_H-M_alt 'P 1 m 1'
_space_group_IT_number 6
_cell_length_a 3.605
_cell_length_b 5.025
_cell_length_c 7.160
_cell_angle_alpha 90.00
_cell_angle_beta 99.08
_cell_angle_gamma 90.00
loop_
_space_group_symop_operation_xyz
'x,y,z'
'x,-y,z'
loop_
_atom_site_label
_atom_site_type_symbol
_atom_site_fract_x
_atom_site_fract_y
_atom_site_fract_z
Ca1 Ca 0.000 0.000 0.000
La1 La 0.421 0.500 0.697
La2 La 0.880 0.000 0.462
Cr1 Cr 0.433 0.500 0.242
```

Calculated values
- Calculated formation energy: 0.417 eV/atom
- Density of states at the Fermi level: 1.36 states/eV per atom

# 5
LaYHfBr2: relaxed, PBE.

The structure in CIF format:
```
data_LaYHfBr2
_chemical_formula_sum 'La1 Y1 Hf1 Br2'
_space_group_name_H-M_alt 'P 4/m m m'
_space_group_IT_number 123
_space_group_name_Hall '-P 4 2'
_cell_length_a 5.179
_cell_length_b 5.179
_cell_length_c 6.230
_cell_angle_alpha 90.00
_cell_angle_beta 90.00
_cell_angle_gamma 90.00
loop_
_atom_site_label
_atom_site_type_symbol
_atom_site_fract_x
_atom_site_fract_y
_atom_site_fract_z
La1 La 0.000 0.000 0.000
Y1 Y 0.500 0.500 0.000
Hf1 Hf 0.500 0.500 0.500
Br1 Br 0.000 0.500 0.500
```

Calculated values
- Raw formation energy: 52.2 meV per atom
- Density of states at the Fermi level: 1.29 states/eV per atom

# 6
SmMgBi3: relaxed, PBE.

The structure in CIF format:
```
data_SmMgBi3
_chemical_formula_sum 'Sm4 Mg4 Bi12'
_space_group_name_H-M_alt 'P b c m'
_space_group_IT_number 57
_cell_length_a 13.930
_cell_length_b 6.509
_cell_length_c 6.545
_cell_angle_alpha 90.00
_cell_angle_beta 90.00
_cell_angle_gamma 90.00
loop_
_space_group_symop_operation_xyz
'x,y,z'
'-x,-y,-z'
'-x,-y,z+1/2'
'x,y,-z+1/2'
'x,-y+1/2,-z'
'-x,y+1/2,z'
'-x,y+1/2,-z+1/2'
'x,-y+1/2,z+1/2'
loop_
_atom_site_label
_atom_site_type_symbol
_atom_site_fract_x
_atom_site_fract_y
_atom_site_fract_z
Sm1 Sm 0.181 0.002 0.250
Mg1 Mg 0.387 0.750 0.000
Bi1 Bi 0.002 0.750 0.000
Bi2 Bi 0.236 0.005 0.750
Bi3 Bi 0.419 0.172 0.250
```

Calculated values
- Calculated formation energy: -0.422 eV/atom
- Density of states at the Fermi level: 0.44 states/eV per atom

# 7
TbCe2In9: relaxed, PBE.

The structure in CIF format:
```
data_TbCe2In9
_chemical_formula_sum 'Tb1 Ce2 In9'
_space_group_name_H-M_alt 'P 4/m m m'
_space_group_IT_number 123
_space_group_name_Hall '-P 4 2'
_cell_length_a 4.688
_cell_length_b 4.688
_cell_length_c 14.056
_cell_angle_alpha 90.00
_cell_angle_beta 90.00
_cell_angle_gamma 90.00
loop_
_atom_site_label
_atom_site_type_symbol
_atom_site_fract_x
_atom_site_fract_y
_atom_site_fract_z
Tb1 Tb 0.000 0.000 0.000
Ce1 Ce 0.000 0.000 0.331
In1 In 0.000 0.500 0.164
In2 In 0.000 0.500 0.500
In3 In 0.500 0.500 0.000
In4 In 0.500 0.500 0.333
```

Calculated values
- Calculated formation energy: -0.419 eV/atom
- Density of states at the Fermi level: 1.16 states/eV per atom

# 8
PmNd5Si4: relaxed, PBE.

The structure in CIF format:
```
data_PmNd5Si4
_chemical_formula_sum 'Pm2 Nd10 Si8'
_space_group_name_H-M_alt 'C 1 2/m 1'
_space_group_IT_number 12
_cell_length_a 15.605
_cell_length_b 5.123
_cell_length_c 6.988
_cell_angle_alpha 90.00
_cell_angle_beta 90.17
_cell_angle_gamma 90.00
loop_
_space_group_symop_operation_xyz
'x,y,z'
'-x,-y,-z'
'-x,y,-z'
'x,-y,z'
'x+1/2,y+1/2,z'
'-x+1/2,-y+1/2,-z'
'-x+1/2,y+1/2,-z'
'x+1/2,-y+1/2,z'
loop_
_atom_site_label
_atom_site_type_symbol
_atom_site_fract_x
_atom_site_fract_y
_atom_site_fract_z
Pm1 Pm 0.000 0.000 0.000
Nd1 Nd 0.000 0.000 0.500
Nd2 Nd 0.165 0.500 0.007
Nd3 Nd 0.165 0.500 0.493
Si1 Si 0.009 0.500 0.752
Si2 Si 0.177 0.000 0.250
```

Calculated values
- Raw formation energy: -487.1 meV per atom
- Density of states at the Fermi level: 0.56 states/eV per atom

# 9
PuTi2Ga3: relaxed, PBE.

The structure in CIF format:
```
data_PuTi2Ga3
_chemical_formula_sum 'Pu1 Ti2 Ga3'
_space_group_name_H-M_alt 'P 4/m m m'
_space_group_IT_number 123
_space_group_name_Hall '-P 4 2'
_cell_length_a 2.902
_cell_length_b 2.902
_cell_length_c 12.357
_cell_angle_alpha 90.00
_cell_angle_beta 90.00
_cell_angle_gamma 90.00
loop_
_atom_site_label
_atom_site_type_symbol
_atom_site_fract_x
_atom_site_fract_y
_atom_site_fract_z
Pu1 Pu 0.000 0.000 0.000
Ti1 Ti 0.000 0.000 0.345
Ga1 Ga 0.500 0.500 0.191
Ga2 Ga 0.500 0.500 0.500
```

Calculated values
- Calculated formation energy: -0.389 eV/atom
- Density of states at the Fermi level: 1.24 states/eV per atom

# 10
Mg4NiHg3: relaxed, PBE.

The structure in CIF format:
```
data_Mg4NiHg3
_chemical_formula_sum 'Mg4 Ni1 Hg3'
_space_group_name_H-M_alt 'P 4/m m m'
_space_group_IT_number 123
_space_group_name_Hall '-P 4 2'
_cell_length_a 3.286
_cell_length_b 3.286
_cell_length_c 14.400
_cell_angle_alpha 90.00
_cell_angle_beta 90.00
_cell_angle_gamma 90.00
loop_
_atom_site_label
_atom_site_type_symbol
_atom_site_fract_x
_atom_site_fract_y
_atom_site_fract_z
Mg1 Mg 0.000 0.000 0.098
Mg2 Mg 0.000 0.000 0.363
Ni1 Ni 0.500 0.500 0.000
Hg1 Hg 0.500 0.500 0.229
Hg2 Hg 0.500 0.500 0.500
```

Calculated values
- Calculated formation energy: -0.194 eV/atom
- Density of states at the Fermi level: 0.38 states/eV per atom

# 11
BaCrNi: relaxed, PBE.

The structure in CIF format:
```
data_BaCrNi
_chemical_formula_sum 'Ba4 Cr4 Ni4'
_space_group_name_H-M_alt 'F -4 3 m'
_space_group_IT_number 216
_space_group_name_Hall 'F -4 2 3'
_cell_length_a 7.153
_cell_length_b 7.153
_cell_length_c 7.153
_cell_angle_alpha 90.00
_cell_angle_beta 90.00
_cell_angle_gamma 90.00
loop_
_atom_site_label
_atom_site_type_symbol
_atom_site_fract_x
_atom_site_fract_y
_atom_site_fract_z
Ba1 Ba 0.000 0.000 0.000
Cr1 Cr 0.250 0.250 0.750
Ni1 Ni 0.250 0.250 0.250
```

Calculated values
- Calculated formation energy: 1.403 eV/atom
- Density of states at the Fermi level: 1.31 states/eV per atom

# 12
Mg2P3Pd5: relaxed, PBE.

The structure in CIF format:
```
data_Mg2P3Pd5
_chemical_formula_sum 'Mg8 P12 Pd20'
_space_group_name_H-M_alt 'C m c 21'
_space_group_IT_number 36
_cell_length_a 4.065
_cell_length_b 22.851
_cell_length_c 6.793
_cell_angle_alpha 90.00
_cell_angle_beta 90.00
_cell_angle_gamma 90.00
loop_
_space_group_symop_operation_xyz
'x,y,z'
'-x,-y,z+1/2'
'-x,y,z'
'x,-y,z+1/2'
'x+1/2,y+1/2,z'
'-x+1/2,-y+1/2,z+1/2'
'-x+1/2,y+1/2,z'
'x+1/2,-y+1/2,z+1/2'
loop_
_atom_site_label
_atom_site_type_symbol
_atom_site_fract_x
_atom_site_fract_y
_atom_site_fract_z
Mg1 Mg 0.000 0.029 0.000
Mg2 Mg 0.000 0.327 0.017
P1 P 0.000 0.111 0.734
P2 P 0.000 0.266 0.543
P3 P 0.000 0.454 0.772
Pd1 Pd 0.000 0.087 0.384
Pd2 Pd 0.000 0.209 0.248
Pd3 Pd 0.000 0.209 0.839
Pd4 Pd 0.000 0.373 0.533
Pd5 Pd 0.000 0.443 0.166
```

Calculated values
- Calculated formation energy: -0.517 eV/atom
- Density of states at the Fermi level: 0.59 states/eV per atom

no.,magnetization (μB/atom)
1,0.000
2,0.000
3,0.000
4,1.029
5,0.000
6,0.000
7,0.126
8,0.000
9,0.861
10,0.000
11,1.651
12,0.000